## Pm2CrFeN5 (PBE)

Data for Pm2CrFeN5 after structural relaxation.

Computed properties:
Symmetry: No. 36
Formation energy without anion corrections in eV per atom: -0.702
Electronic total energy in eV/atom: -8.393

Cell lengths 3.288, 7.122, 9.607 Å; angles 90.00, 90.00, 103.35 degrees
Last column: magnetic moment on the atom in μB.
Fractional coordinates of all 18 atoms:
1 N 0.702 0.404 0.144  0.04
2 N 0.657 0.315 0.502  0.09
3 Pm 0.131 0.263 0.307  -0.01
4 Pm 0.869 0.737 0.807  -0.01
5 Pm 0.129 0.257 0.676  0.00
6 N 0.946 0.891 0.540  0.02
7 N 0.054 0.109 0.040  0.02
8 N 0.691 0.382 0.880  0.00
9 Cr 0.572 0.143 0.953  -0.40
10 N 0.298 0.596 0.644  0.04
11 Pm 0.871 0.743 0.176  0.00
12 N 0.343 0.685 0.002  0.09
13 Fe 0.794 0.588 0.519  1.21
14 Cr 0.428 0.857 0.453  -0.40
15 N 0.508 0.016 0.802  0.01
16 N 0.492 0.984 0.302  0.01
17 N 0.309 0.618 0.380  0.00
18 Fe 0.206 0.412 0.019  1.21

***

## Tm8Sb3Te4P (PBE)

Data for Tm8Sb3Te4P after structural relaxation.

Computed properties:
Symmetry: No. 166
Formation energy without anion corrections in eV per atom: -1.237
Electronic total energy in eV/atom: -5.370

Cell lengths 8.544, 8.583, 8.545 Å; angles 119.86, 120.00, 90.00 degrees
Fractional coordinates of all 16 atoms:
1 Sb 0.500 0.500 0.000
2 P 0.000 0.500 0.000
3 Te 0.000 0.000 0.500
4 Sb 0.500 0.500 0.500
5 Tm 0.763 0.725 0.994
6 Tm 0.746 0.739 0.492
7 Sb 0.000 0.500 0.500
8 Te 0.500 0.000 0.000
9 Te 0.000 0.000 0.000
10 Tm 0.254 0.261 0.508
11 Te 0.500 0.000 0.500
12 Tm 0.231 0.725 0.994
13 Tm 0.231 0.725 0.462
14 Tm 0.237 0.275 0.006
15 Tm 0.769 0.275 0.006
16 Tm 0.769 0.275 0.538

***

## ZnHgB3 (PBE)

Data for ZnHgB3 after structural relaxation.

Computed properties:
Symmetry: No. 221
Energy of formation from the pure elements in eV per formula unit: 9.4
Electronic total energy in eV/atom: -2.435

Cell lengths 4.180, 4.180, 4.180 Å; angles 90.00, 90.00, 90.00 degrees
Fractional coordinates of all 5 atoms:
1 Hg 0.500 0.500 0.500
2 B 0.000 0.000 0.500
3 B 0.500 0.000 0.000
4 B 0.000 0.500 0.000
5 Zn 0.000 0.000 0.000

***

## Be2Re2Mo (PBE)

Data for Be2Re2Mo after structural relaxation.

Computed properties:
Symmetry: No. 127
Energy of formation from the pure elements in eV per formula unit: -0.8
Electronic total energy in eV/atom: -8.804

Cell lengths 6.243, 6.243, 3.089 Å; angles 90.00, 90.00, 90.00 degrees
Fractional coordinates of all 10 atoms:
1 Re 0.671 0.829 0.500
2 Re 0.829 0.329 0.500
3 Mo 0.500 0.500 0.000
4 Re 0.329 0.171 0.500
5 Be 0.120 0.380 0.000
6 Be 0.620 0.120 0.000
7 Mo 0.000 0.000 0.000
8 Be 0.880 0.620 0.000
9 Re 0.171 0.671 0.500
10 Be 0.380 0.880 0.000

***

## K3Re2HgO9 (PBE)

Data for K3Re2HgO9 after structural relaxation.

Computed properties:
Symmetry: No. 164
Formation energy without anion corrections in eV per atom: -1.476
Electronic total energy in eV/atom: -6.350

Cell lengths 5.752, 5.752, 7.434 Å; angles 90.00, 90.00, 120.00 degrees
Fractional coordinates of all 15 atoms:
1 O 0.000 0.500 0.000
2 K 0.333 0.667 0.675
3 O 0.500 0.000 0.000
4 O 0.822 0.644 0.709
5 K 0.667 0.333 0.325
6 O 0.500 0.500 0.000
7 Hg 0.000 0.000 0.500
8 O 0.178 0.822 0.291
9 O 0.822 0.178 0.709
10 K 0.000 0.000 0.000
11 O 0.356 0.178 0.709
12 Re 0.333 0.667 0.158
13 O 0.644 0.822 0.291
14 Re 0.667 0.333 0.842
15 O 0.178 0.356 0.291

***

## Ba12Cu3F5 (PBE)

Data for Ba12Cu3F5 after structural relaxation.

Computed properties:
Symmetry: No. 230
Formation energy without anion corrections in eV per atom: -1.296
Electronic total energy in eV/atom: -3.531

Cell lengths 15.609, 15.609, 15.609 Å; angles 109.47, 109.47, 109.47 degrees
Last column: magnetic moment on the atom in μB.
Fractional coordinates of all 80 atoms:
1 F 0.625 0.750 0.875  0.01
2 Cu 0.375 0.750 0.625  0.03
3 F 0.625 0.875 0.250  0.01
4 Ba 0.212 0.526 0.620  0.09
5 Ba 0.406 0.026 0.314  0.09
6 Ba 0.908 0.814 0.788  0.09
7 Ba 0.094 0.908 0.120  0.09
8 F 0.000 0.000 0.500  0.01
9 Ba 0.314 0.526 0.406  0.09
10 F 0.000 0.500 0.500  0.01
11 Cu 0.250 0.125 0.375  0.03
12 F 0.500 0.000 0.000  0.01
13 Ba 0.406 0.380 0.592  0.09
14 Ba 0.288 0.880 0.974  0.09
15 F 0.500 0.500 0.000  0.01
16 Ba 0.120 0.408 0.094  0.09
17 Ba 0.686 0.474 0.594  0.09
18 F 0.500 0.500 0.500  0.01
19 F 0.500 0.000 0.500  0.01
20 Ba 0.594 0.620 0.408  0.09
21 Ba 0.186 0.094 0.974  0.09
22 Cu 0.625 0.375 0.750  0.03
23 Ba 0.906 0.814 0.526  0.09
24 Cu 0.625 0.250 0.375  0.03
25 Cu 0.750 0.375 0.125  0.03
26 F 0.000 0.000 0.000  0.01
27 Ba 0.380 0.974 0.788  0.09
28 F 0.250 0.875 0.125  0.01
29 Ba 0.380 0.406 0.092  0.09
30 Ba 0.288 0.408 0.814  0.09
31 Ba 0.186 0.092 0.712  0.09
32 Ba 0.788 0.474 0.380  0.09
33 Cu 0.250 0.625 0.875  0.03
34 Ba 0.814 0.908 0.288  0.09
35 Cu 0.875 0.125 0.250  0.03
36 Ba 0.974 0.380 0.288  0.09
37 Ba 0.526 0.212 0.120  0.09
38 F 0.375 0.250 0.125  0.01
39 Cu 0.125 0.250 0.875  0.03
40 Ba 0.906 0.092 0.880  0.09
41 Ba 0.408 0.120 0.594  0.09
42 Ba 0.712 0.592 0.186  0.09
43 Ba 0.814 0.906 0.026  0.09
44 F 0.000 0.500 0.000  0.01
45 Ba 0.880 0.592 0.906  0.09
46 Ba 0.908 0.094 0.620  0.09
47 Ba 0.620 0.026 0.212  0.09
48 Ba 0.974 0.594 0.186  0.09
49 Ba 0.474 0.788 0.880  0.09
50 F 0.875 0.625 0.750  0.01
51 F 0.875 0.250 0.625  0.01
52 Ba 0.712 0.120 0.026  0.09
53 Cu 0.875 0.750 0.125  0.03
54 Cu 0.125 0.875 0.750  0.03
55 Ba 0.120 0.712 0.526  0.09
56 Ba 0.620 0.594 0.908  0.09
57 F 0.125 0.375 0.250  0.01
58 F 0.375 0.125 0.750  0.01
59 Cu 0.375 0.625 0.250  0.03
60 Ba 0.474 0.686 0.094  0.09
61 F 0.750 0.625 0.375  0.01
62 Ba 0.788 0.314 0.908  0.09
63 Ba 0.026 0.620 0.712  0.09
64 F 0.750 0.125 0.875  0.01
65 F 0.250 0.375 0.625  0.01
66 F 0.125 0.750 0.375  0.01
67 Ba 0.092 0.186 0.212  0.09
68 Ba 0.026 0.406 0.814  0.09
69 Ba 0.592 0.712 0.686  0.09
70 Ba 0.880 0.288 0.474  0.09
71 Ba 0.408 0.288 0.314  0.09
72 Ba 0.594 0.974 0.686  0.09
73 Ba 0.686 0.212 0.592  0.09
74 Ba 0.212 0.686 0.092  0.09
75 Cu 0.750 0.875 0.625  0.03
76 Ba 0.092 0.906 0.380  0.09
77 Ba 0.526 0.314 0.906  0.09
78 Ba 0.592 0.880 0.406  0.09
79 Ba 0.314 0.788 0.408  0.09
80 Ba 0.094 0.186 0.474  0.09